VASP calculation (GGA+U) on a relaxed NaMoF4 crystal.

As for the total magnetization: 6.00 Bohr magnetons per cell. As for the density of states at the Fermi level: 0.00 states/eV per cell. The density comes out at 3.584 Mg/m³. For the raw total energy, the calculation gives -5.3202 eV/atom.

The structure belongs to space group P2_1/c (No. 14); the cell edges are 6.265, 5.086 and 6.053 Å and the angles 90.00°, 110.54° and 90.00°. The asymmetric unit holds Na at (0.000, 0.000, 0.000), Mo at (0.500, 0.000, 0.500), F at (0.186, 0.183, 0.369) and F at (0.368, 0.722, 0.681).